1.
Li6CdSn | PBE | optimized geometry

Unit cell a=8.0367 b=8.0367 c=8.0367 alpha=33.91 beta=33.91 gamma=33.91
Closest atoms and distances in Å follow each position.
Fractional positions:
Li (0.1244, 0.1244, 0.1244)  1 Sn 2.82, 3 Cd 2.87, 4 Li 2.92-3.01
Li (0.2569, 0.2569, 0.2569)  7 Li 2.66-2.92
Li (0.3741, 0.3741, 0.3741)  4 Li 2.66-2.82, 1 Cd 2.86, 3 Sn 2.86
Li (0.6259, 0.6259, 0.6259)  4 Li 2.66-2.82, 1 Cd 2.86, 3 Sn 2.86
Li (0.7431, 0.7431, 0.7431)  7 Li 2.66-2.92
Li (0.8756, 0.8756, 0.8756)  1 Sn 2.82, 3 Cd 2.87, 4 Li 2.92-3.01
Cd (0.5000, 0.5000, 0.5000)  8 Li 2.86-2.87
Sn (0.0000, 0.0000, 0.0000)  8 Li 2.82-2.86

## Properties
total magnetic moment: 0.00 μB per cell
offset from the most stable computed form: 0 meV per atom
electronic total energy: -18.71 eV/cell
DOS(E_F): 3.89 states/eV/f.u.
energy of formation: -289 meV/atom


2.
Li12Cd2Sn5 | PBE | optimized geometry

Unit cell a=8.4014 b=8.4014 c=9.3727 alpha=102.41 beta=102.41 gamma=39.81
Closest atoms and distances in Å follow each position.
Fractional positions:
Li (0.0251, 0.0251, 0.3491)  2 Sn 2.89-2.93, 5 Li 3.03-3.11
Li (0.0302, 0.5477, 0.8607)  3 Li 2.76-2.96, 3 Sn 2.84-2.94
Li (0.0945, 0.6236, 0.3845)  3 Li 2.69-2.88, 4 Sn 2.71-2.83
Li (0.3764, 0.9055, 0.6155)  3 Li 2.69-2.88, 4 Sn 2.71-2.83
Li (0.4049, 0.4049, 0.1721)  2 Li 2.73, 2 Cd 2.82, 2 Sn 2.94
Li (0.4523, 0.9698, 0.1393)  3 Li 2.76-2.96, 3 Sn 2.84-2.94
Li (0.5477, 0.0302, 0.8607)  3 Li 2.76-2.96, 3 Sn 2.84-2.94
Li (0.5951, 0.5951, 0.8279)  2 Li 2.73, 2 Cd 2.82, 2 Sn 2.94
Li (0.6236, 0.0945, 0.3845)  3 Li 2.69-2.88, 4 Sn 2.71-2.83
Li (0.9055, 0.3764, 0.6155)  3 Li 2.69-2.88, 4 Sn 2.71-2.83
Li (0.9698, 0.4523, 0.1393)  3 Li 2.76-2.96, 3 Sn 2.84-2.94
Li (0.9749, 0.9749, 0.6509)  2 Sn 2.89-2.93, 5 Li 3.03-3.11
Cd (0.2538, 0.7462, 0.0000)  2 Cd 2.82-2.90, 2 Li 2.82, 2 Sn 2.99
Cd (0.7462, 0.2538, 0.0000)  2 Cd 2.82-2.90, 2 Li 2.82, 2 Sn 2.99
Sn (0.1329, 0.1329, 0.8780)  9 Li 2.83-2.94, 2 Cd 2.99
Sn (0.2155, 0.2155, 0.4183)  7 Li 2.76-2.94
Sn (0.5000, 0.5000, 0.5000)  4 Li 2.71
Sn (0.7845, 0.7845, 0.5817)  7 Li 2.76-2.94
Sn (0.8671, 0.8671, 0.1220)  9 Li 2.83-2.94, 2 Cd 2.99

## Properties
total magnetic moment: 0.00 μB per cell
electronic total energy: -48.95 eV/cell
DOS(E_F): 5.44 states/eV/f.u.
energy of formation: -218 meV/atom


3.
Li2Cd5Sn3 | PBE | optimized geometry

Unit cell a=10.1777 b=10.1777 c=10.1777 alpha=115.58 beta=74.41 gamma=146.82
Closest atoms and distances in Å follow each position.
Fractional positions:
Li (0.0868, 0.2033, 0.2902)  3 Cd 2.77-3.07, 2 Sn 2.99
Li (0.4132, 0.7033, 0.1165)  3 Cd 2.77-3.07, 2 Sn 2.99
Li (0.5868, 0.2967, 0.8835)  3 Cd 2.77-3.07, 2 Sn 2.99
Li (0.9132, 0.7967, 0.7098)  3 Cd 2.77-3.07, 2 Sn 2.99
Cd (0.0665, 0.2500, 0.8165)  4 Cd 2.91-3.07, 1 Sn 2.98, 2 Li 3.07
Cd (0.1545, 0.4382, 0.5928)  1 Li 2.77, 4 Cd 2.97-3.07
Cd (0.2500, 0.7500, 0.5000)  6 Cd 2.91-2.97
Cd (0.3455, 0.9382, 0.2837)  1 Li 2.77, 4 Cd 2.97-3.07
Cd (0.4335, 0.2500, 0.1835)  4 Cd 2.91-3.07, 1 Sn 2.98, 2 Li 3.07
Cd (0.5665, 0.7500, 0.8165)  4 Cd 2.91-3.07, 1 Sn 2.98, 2 Li 3.07
Cd (0.6545, 0.0618, 0.7163)  1 Li 2.77, 4 Cd 2.97-3.07
Cd (0.7500, 0.2500, 0.5000)  6 Cd 2.91-2.97
Cd (0.8455, 0.5618, 0.4072)  1 Li 2.77, 4 Cd 2.97-3.07
Cd (0.9335, 0.7500, 0.1835)  4 Cd 2.91-3.07, 1 Sn 2.98, 2 Li 3.07
Sn (0.2047, 0.7265, 0.9312)  8 Cd 3.23-3.51, 2 Sn 3.30, 3 Li 3.39-3.56
Sn (0.2500, 0.2500, 0.0000)  2 Sn 2.91, 2 Cd 2.98, 4 Li 2.99
Sn (0.2953, 0.2265, 0.5218)  8 Cd 3.23-3.51, 2 Sn 3.30, 3 Li 3.39-3.56
Sn (0.7047, 0.7735, 0.4782)  8 Cd 3.23-3.51, 2 Sn 3.30, 3 Li 3.39-3.56
Sn (0.7500, 0.7500, 0.0000)  2 Sn 2.91, 2 Cd 2.98, 4 Li 2.99
Sn (0.7953, 0.2735, 0.0688)  8 Cd 3.23-3.51, 2 Sn 3.30, 3 Li 3.39-3.56

## Properties
total magnetic moment: 0.00 μB per cell
electronic total energy: -40.94 eV/cell
DOS(E_F): 3.98 states/eV/f.u.
energy of formation: -6 meV/atom


4.
LiCd2Sn2 | PBE | optimized geometry

Unit cell a=8.2257 b=8.2257 c=3.7743 alpha=90.00 beta=90.00 gamma=90.00
Closest atoms and distances in Å follow each position.
Fractional positions:
Li (0.0000, 0.0000, 0.0000)  4 Cd 3.23, 8 Sn 3.58
Li (0.5000, 0.5000, 0.0000)  4 Cd 3.23, 8 Sn 3.58
Cd (0.1293, 0.3707, 0.0000)  6 Sn 2.97-3.15, 1 Cd 3.01, 2 Li 3.23
Cd (0.3707, 0.8707, 0.0000)  6 Sn 2.97-3.15, 1 Cd 3.01, 2 Li 3.23
Cd (0.6293, 0.1293, 0.0000)  6 Sn 2.97-3.15, 1 Cd 3.01, 2 Li 3.23
Cd (0.8707, 0.6293, 0.0000)  6 Sn 2.97-3.15, 1 Cd 3.01, 2 Li 3.23
Sn (0.1737, 0.6737, 0.5000)  6 Cd 2.97-3.15
Sn (0.3263, 0.1737, 0.5000)  6 Cd 2.97-3.15
Sn (0.6737, 0.8263, 0.5000)  6 Cd 2.97-3.15
Sn (0.8263, 0.3263, 0.5000)  6 Cd 2.97-3.15

## Properties
total magnetic moment: 0.00 μB per cell
offset from the most stable computed form: 64 meV per atom
electronic total energy: -23.51 eV/cell
DOS(E_F): 2.25 states/eV/f.u.
energy of formation: -1 meV/atom


5.
Li7Cd4Sn | PBE | optimized geometry

Unit cell a=7.2760 b=7.2760 c=8.0016 alpha=117.33 beta=117.33 gamma=40.74
Closest atoms and distances in Å follow each position.
Fractional positions:
Li (0.0000, 0.0000, 0.0000)  2 Sn 2.53, 4 Cd 2.72-2.82
Li (0.2714, 0.2714, 0.7476)  4 Cd 2.70-2.86, 1 Sn 2.76, 2 Li 2.82-2.96
Li (0.3101, 0.3101, 0.1274)  4 Li 2.82-3.13, 3 Cd 2.97-3.15
Li (0.4204, 0.4204, 0.5752)  5 Cd 2.87-3.07, 3 Li 2.95-3.13, 1 Sn 3.02
Li (0.5796, 0.5796, 0.4248)  5 Cd 2.87-3.07, 3 Li 2.95-3.13, 1 Sn 3.02
Li (0.6899, 0.6899, 0.8726)  4 Li 2.82-3.13, 3 Cd 2.97-3.15
Li (0.7286, 0.7286, 0.2524)  4 Cd 2.70-2.86, 1 Sn 2.76, 2 Li 2.82-2.96
Cd (0.0651, 0.0651, 0.7153)  4 Li 2.70-2.97, 1 Cd 3.01
Cd (0.1795, 0.1795, 0.3609)  5 Li 2.71-2.87
Cd (0.8205, 0.8205, 0.6391)  5 Li 2.71-2.87
Cd (0.9349, 0.9349, 0.2847)  4 Li 2.70-2.97, 1 Cd 3.01
Sn (0.5000, 0.5000, 0.0000)  4 Li 2.53-2.76

## Properties
total magnetic moment: 0.00 μB per cell
electronic total energy: -22.82 eV/cell
DOS(E_F): 4.67 states/eV/f.u.
energy of formation: -146 meV/atom


6.
Li5Cd2Sn2 | PBE | optimized geometry

Unit cell a=7.7571 b=7.7571 c=7.2646 alpha=90.00 beta=90.00 gamma=57.82
Closest atoms and distances in Å follow each position.
Fractional positions:
Li (0.0000, 0.0000, 0.0000)  4 Cd 2.85-2.89, 2 Sn 2.90
Li (0.0401, 0.6865, 0.6785)  3 Cd 2.69-3.01, 3 Sn 2.76-2.94
Li (0.1865, 0.5401, 0.1785)  3 Cd 2.69-3.01, 3 Sn 2.76-2.94
Li (0.3135, 0.9599, 0.6785)  3 Cd 2.69-3.01, 3 Sn 2.76-2.94
Li (0.4599, 0.8135, 0.1785)  3 Cd 2.69-3.01, 3 Sn 2.76-2.94
Li (0.5000, 0.5000, 0.5000)  4 Cd 2.85-2.89, 2 Sn 2.90
Li (0.5401, 0.1865, 0.8215)  3 Cd 2.69-3.01, 3 Sn 2.76-2.94
Li (0.6865, 0.0401, 0.3215)  3 Cd 2.69-3.01, 3 Sn 2.76-2.94
Li (0.8135, 0.4599, 0.8215)  3 Cd 2.69-3.01, 3 Sn 2.76-2.94
Li (0.9599, 0.3135, 0.3215)  3 Cd 2.69-3.01, 3 Sn 2.76-2.94
Cd (0.1367, 0.8633, 0.3659)  8 Li 2.69-3.01, 1 Cd 2.83
Cd (0.3633, 0.6367, 0.8659)  8 Li 2.69-3.01, 1 Cd 2.83
Cd (0.6367, 0.3633, 0.1341)  8 Li 2.69-3.01, 1 Cd 2.83
Cd (0.8633, 0.1367, 0.6341)  8 Li 2.69-3.01, 1 Cd 2.83
Sn (0.2132, 0.2132, 0.0000)  7 Li 2.76-2.94
Sn (0.2868, 0.2868, 0.5000)  7 Li 2.76-2.94
Sn (0.7133, 0.7133, 0.5000)  7 Li 2.76-2.94
Sn (0.7867, 0.7867, 0.0000)  7 Li 2.76-2.94

## Properties
total magnetic moment: 0.00 μB per cell
electronic total energy: -41.84 eV/cell
DOS(E_F): 3.65 states/eV/f.u.
energy of formation: -168 meV/atom


7.
Li6Cd12Sn | PBE | optimized geometry

Unit cell a=7.3043 b=7.3043 c=7.3043 alpha=90.09 beta=90.09 gamma=90.09
Closest atoms and distances in Å follow each position.
Fractional positions:
Li (0.2307, 0.7646, 0.6120)  1 Sn 2.88, 8 Cd 2.88-3.08, 2 Li 2.98
Li (0.2354, 0.3880, 0.7693)  1 Sn 2.88, 8 Cd 2.88-3.08, 2 Li 2.98
Li (0.3880, 0.7693, 0.2354)  1 Sn 2.88, 8 Cd 2.88-3.08, 2 Li 2.98
Li (0.6120, 0.2307, 0.7646)  1 Sn 2.88, 8 Cd 2.88-3.08, 2 Li 2.98
Li (0.7646, 0.6120, 0.2307)  1 Sn 2.88, 8 Cd 2.88-3.08, 2 Li 2.98
Li (0.7693, 0.2354, 0.3880)  1 Sn 2.88, 8 Cd 2.88-3.08, 2 Li 2.98
Cd (0.0253, 0.9252, 0.3047)  4 Li 2.93-3.02, 5 Cd 2.94-3.18
Cd (0.0748, 0.6953, 0.9747)  4 Li 2.93-3.02, 5 Cd 2.94-3.18
Cd (0.1140, 0.4661, 0.3421)  4 Li 2.88-3.08, 5 Cd 2.89-3.20, 1 Sn 3.05
Cd (0.3047, 0.0253, 0.9252)  4 Li 2.93-3.02, 5 Cd 2.94-3.18
Cd (0.3421, 0.1140, 0.4661)  4 Li 2.88-3.08, 5 Cd 2.89-3.20, 1 Sn 3.05
Cd (0.4661, 0.3421, 0.1140)  4 Li 2.88-3.08, 5 Cd 2.89-3.20, 1 Sn 3.05
Cd (0.5339, 0.6579, 0.8860)  4 Li 2.88-3.08, 5 Cd 2.89-3.20, 1 Sn 3.05
Cd (0.6579, 0.8860, 0.5339)  4 Li 2.88-3.08, 5 Cd 2.89-3.20, 1 Sn 3.05
Cd (0.6953, 0.9747, 0.0748)  4 Li 2.93-3.02, 5 Cd 2.94-3.18
Cd (0.8860, 0.5339, 0.6579)  4 Li 2.88-3.08, 5 Cd 2.89-3.20, 1 Sn 3.05
Cd (0.9252, 0.3047, 0.0253)  4 Li 2.93-3.02, 5 Cd 2.94-3.18
Cd (0.9747, 0.0748, 0.6953)  4 Li 2.93-3.02, 5 Cd 2.94-3.18
Sn (0.5000, 0.5000, 0.5000)  6 Li 2.88, 6 Cd 3.05

## Properties
total magnetic moment: 0.00 μB per cell
electronic total energy: -30.01 eV/cell
DOS(E_F): 4.47 states/eV/f.u.
energy of formation: -186 meV/atom


8.
LiCd2Sn | PBE | optimized geometry

Unit cell a=6.4445 b=6.4445 c=6.4445 alpha=101.84 beta=101.84 gamma=126.13
Closest atoms and distances in Å follow each position.
Fractional positions:
Li (0.0000, 0.0000, 0.0000)  4 Cd 2.88, 2 Sn 2.92
Li (0.7500, 0.2500, 0.5000)  4 Cd 2.88, 2 Sn 2.92
Cd (0.1105, 0.6250, 0.9855)  2 Li 2.88, 2 Cd 2.93, 2 Sn 3.05
Cd (0.3750, 0.3605, 0.4855)  2 Li 2.88, 2 Cd 2.93, 2 Sn 3.05
Cd (0.6395, 0.1250, 0.0145)  2 Li 2.88, 2 Cd 2.93, 2 Sn 3.05
Cd (0.8750, 0.8895, 0.5145)  2 Li 2.88, 2 Cd 2.93, 2 Sn 3.05
Sn (0.2500, 0.7500, 0.5000)  2 Li 2.92, 4 Cd 3.05
Sn (0.5000, 0.5000, 0.0000)  2 Li 2.92, 4 Cd 3.05

## Properties
total magnetic moment: 0.00 μB per cell
electronic total energy: -15.33 eV/cell
DOS(E_F): 1.77 states/eV/f.u.
energy of formation: 21 meV/atom


9.
Li6Cd2Sn | PBE | optimized geometry

Unit cell a=8.6369 b=8.7025 c=4.4988 alpha=90.00 beta=90.00 gamma=90.00
Closest atoms and distances in Å follow each position.
Fractional positions:
Li (0.0130, 0.1715, 0.0000)  1 Sn 2.86, 3 Cd 2.88-2.89, 6 Li 2.88-3.16
Li (0.1676, 0.0327, 0.5000)  3 Cd 2.85-3.11, 6 Li 2.88-2.99, 1 Sn 2.88
Li (0.1743, 0.3696, 0.5000)  4 Cd 2.92-3.05, 6 Li 2.93-3.16, 2 Sn 2.93
Li (0.3257, 0.8696, 0.0000)  4 Cd 2.92-3.05, 6 Li 2.93-3.16, 2 Sn 2.93
Li (0.3324, 0.5327, 0.0000)  3 Cd 2.85-3.11, 6 Li 2.88-2.99, 1 Sn 2.88
Li (0.4870, 0.6715, 0.5000)  1 Sn 2.86, 3 Cd 2.88-2.89, 6 Li 2.88-3.16
Li (0.5130, 0.3285, 0.5000)  1 Sn 2.86, 3 Cd 2.88-2.89, 6 Li 2.88-3.16
Li (0.6676, 0.4673, 0.0000)  3 Cd 2.85-3.11, 6 Li 2.88-2.99, 1 Sn 2.88
Li (0.6743, 0.1304, 0.0000)  4 Cd 2.92-3.05, 6 Li 2.93-3.16, 2 Sn 2.93
Li (0.8257, 0.6304, 0.5000)  4 Cd 2.92-3.05, 6 Li 2.93-3.16, 2 Sn 2.93
Li (0.8324, 0.9673, 0.5000)  3 Cd 2.85-3.11, 6 Li 2.88-2.99, 1 Sn 2.88
Li (0.9870, 0.8285, 0.0000)  1 Sn 2.86, 3 Cd 2.88-2.89, 6 Li 2.88-3.16
Cd (0.1555, 0.7049, 0.5000)  10 Li 2.85-3.11, 2 Sn 3.17
Cd (0.3445, 0.2049, 0.0000)  10 Li 2.85-3.11, 2 Sn 3.17
Cd (0.6555, 0.7951, 0.0000)  10 Li 2.85-3.11, 2 Sn 3.17
Cd (0.8445, 0.2951, 0.5000)  10 Li 2.85-3.11, 2 Sn 3.17
Sn (0.0000, 0.5000, 0.0000)  8 Li 2.86-2.93, 4 Cd 3.17
Sn (0.5000, 0.0000, 0.5000)  8 Li 2.86-2.93, 4 Cd 3.17

## Properties
total magnetic moment: 0.00 μB per cell
offset from the most stable computed form: 45 meV per atom
electronic total energy: -38.65 eV/cell
DOS(E_F): 4.03 states/eV/f.u.
energy of formation: -223 meV/atom


10.
Li4Cd2Sn | PBE | optimized geometry

Unit cell a=8.1044 b=8.1044 c=8.1044 alpha=143.88 beta=143.88 gamma=52.00
Closest atoms and distances in Å follow each position.
Fractional positions:
Li (0.0000, 0.5000, 0.5000)  2 Sn 2.51
Li (0.1872, 0.1872, 0.0000)  1 Sn 2.73, 1 Cd 2.84
Li (0.5000, 0.0000, 0.5000)  2 Sn 2.51
Li (0.8128, 0.8128, 0.0000)  1 Sn 2.73, 1 Cd 2.84
Cd (0.3820, 0.3820, 0.0000)  5 Li 2.84-3.04
Cd (0.6180, 0.6180, 0.0000)  5 Li 2.84-3.04
Sn (0.0000, 0.0000, 0.0000)  6 Li 2.51-2.73

## Properties
total magnetic moment: 0.00 μB per cell
offset from the most stable computed form: 298 meV per atom
electronic total energy: -13.36 eV/cell
DOS(E_F): 2.85 states/eV/f.u.
energy of formation: 19 meV/atom


What are the calculated volume values for these records? In order: 18.00; 21.70; 25.56; 25.54; 20.09; 20.56; 20.51; 24.09; 18.79; 26.27 Å³/atom.